# Rb3Se2O8 (GGA-PBEsol, optimized geometry)
# - D(E_F): 1.2065 states/eV/atom
# - E_tot: -5.21 eV per atom
data_Rb3Se2O8
_chemical_formula_sum 'Rb3 Se2 O8'
_space_group_name_H-M_alt 'P 1'
_space_group_IT_number 1
_cell_length_a 8.153
_cell_length_b 8.153
_cell_length_c 8.153
_cell_angle_alpha 43.46
_cell_angle_beta 43.46
_cell_angle_gamma 43.46
loop_
_space_group_symop_operation_xyz
'x,y,z'
loop_
_atom_site_label
_atom_site_type_symbol
_atom_site_fract_x
_atom_site_fract_y
_atom_site_fract_z
Rb1 Rb 0.000 0.000 0.000
Rb2 Rb 0.204 0.204 0.204
Rb3 Rb 0.796 0.796 0.796
Se1 Se 0.409 0.409 0.409
Se2 Se 0.591 0.591 0.591
O1 O 0.265 0.718 0.718
O2 O 0.282 0.282 0.735
O3 O 0.282 0.735 0.282
O4 O 0.333 0.333 0.333
O5 O 0.667 0.667 0.667
O6 O 0.718 0.265 0.718
O7 O 0.718 0.718 0.265
O8 O 0.735 0.282 0.282